Entry 1:
Pu2Sb4Pb PBE-GGA relaxed; uncorrected formation energy = -0.358 eV/atom; crystal system = tetragonal; symmetry = No. 115; calculated volume = 209.1 Å³ per cell
1.0
4.331 0.000 0.000
0.000 4.331 0.000
0.000 0.000 11.150
Pu Sb Pb
2 4 1
Direct
0.000 0.500 0.218
0.500 0.000 0.782
0.000 0.000 0.000
0.000 0.500 0.708
0.500 0.000 0.292
0.500 0.500 0.000
0.000 0.000 0.500



Entry 2:
Dy3Ga2Sn2 PBE-GGA relaxed; crystal system = orthorhombic; symmetry = No. 71; total energy = -4.6262 eV per atom; calculated volume = 174.7 Å³ per cell
1.0
-2.127 2.181 9.418
2.127 -2.181 9.418
2.127 2.181 -9.418
Dy Ga Sn
3 2 2
Direct
0.000 0.000 0.000
0.182 0.682 0.500
0.818 0.318 0.500
0.436 0.436 0.000
0.564 0.564 0.000
0.349 0.849 0.500
0.651 0.151 0.500



Entry 3:
HoVAgCl6 PBE-GGA relaxed; uncorrected formation energy = -1.479 eV/atom; crystal system = trigonal; symmetry = No. 163; calculated volume = 453.0 Å³ per cell
1.0
6.502 0.000 0.000
-3.251 5.631 0.000
0.000 0.000 12.374
Ho V Ag Cl
2 2 2 12
Direct
0.333 0.667 0.250
0.667 0.333 0.750
0.333 0.667 0.750
0.667 0.333 0.250
0.000 0.000 0.000
0.000 0.000 0.500
0.018 0.361 0.632
0.018 0.657 0.868
0.343 0.361 0.868
0.343 0.982 0.632
0.361 0.018 0.132
0.361 0.343 0.368
0.639 0.657 0.632
0.639 0.982 0.868
0.657 0.018 0.368
0.657 0.639 0.132
0.982 0.343 0.132
0.982 0.639 0.368



Entry 4:
Th2P3PdRh12 PBE-GGA relaxed; crystal system = trigonal; symmetry = No. 166; total energy = -7.2159 eV per atom; calculated volume = 311.5 Å³ per cell
1.0
4.263 2.461 4.948
-4.263 2.461 4.948
0.000 -4.922 4.948
Th P Pd Rh
2 3 1 12
Direct
0.112 0.112 0.112
0.888 0.888 0.888
0.000 0.500 0.500
0.500 0.000 0.500
0.500 0.500 0.000
0.500 0.500 0.500
0.135 0.657 0.657
0.165 0.165 0.590
0.165 0.590 0.165
0.343 0.343 0.865
0.343 0.865 0.343
0.410 0.835 0.835
0.590 0.165 0.165
0.657 0.135 0.657
0.657 0.657 0.135
0.835 0.410 0.835
0.835 0.835 0.410
0.865 0.343 0.343